Entry 1:
Density functional theory data (SCAN) for a PBEsol-optimized structure of BaGaSb2Pb.

Calculated values
magnetization	0.000	μB/atom
space-group type	P4/mmm, No. 123
Fermi-level density of states	3.76	states/eV/cell

a = 5.305 Å, b = 5.305 Å, c = 5.826 Å
α = 90.00°, β = 90.00°, γ = 90.00°
Element x y z (fractional)
Pb 0.500 0.500 0.500
Sb 0.000 0.500 0.000
Sb 0.500 0.000 0.000
Ba 0.000 0.000 0.500
Ga 0.000 0.000 0.000

---

Entry 2:
Density functional theory data (SCAN) for a PBEsol-optimized structure of SrSi2Ru.

Calculated values
magnetization	0.000	μB/atom
space-group type	P4/mmm, No. 123
Fermi-level density of states	2.74	states/eV/cell

a = 4.060 Å, b = 4.060 Å, c = 4.267 Å
α = 90.00°, β = 90.00°, γ = 90.00°
Element x y z (fractional)
Ru 0.000 0.000 0.500
Si 0.000 0.500 0.000
Si 0.500 0.000 0.000
Sr 0.500 0.500 0.500

---

Entry 3:
Density functional theory data (SCAN) for a PBEsol-optimized structure of Mg2TaMo.

Calculated values
magnetization	0.000	μB/atom
space-group type	P4/mmm, No. 123
Fermi-level density of states	2.62	states/eV/cell
energy of formation from the pure elements	0.301	eV/atom

a = 3.858 Å, b = 3.858 Å, c = 4.690 Å
α = 90.00°, β = 90.00°, γ = 90.00°
Element x y z (fractional)
Mg 0.000 0.500 0.000
Mg 0.500 0.000 0.000
Mo 0.500 0.500 0.500
Ta 0.000 0.000 0.500

---

Entry 4:
Density functional theory data (SCAN) for a PBEsol-optimized structure of AlZn2Tc.

Calculated values
magnetization	0.000	μB/atom
space-group type	Cm, No. 8
Fermi-level density of states	1.69	states/eV/cell
energy of formation from the pure elements	-0.083	eV/atom

a = 2.659 Å, b = 4.676 Å, c = 4.755 Å
α = 98.09°, β = 90.00°, γ = 106.52°
Element x y z (fractional)
Zn 0.995 0.990 0.008
Zn 0.749 0.498 0.237
Tc 0.250 0.500 0.737
Al 0.505 0.011 0.519

---

Entry 5:
Density functional theory data (SCAN) for a PBEsol-optimized structure of Cu2Si2Au.

Calculated values
magnetization	0.000	μB/atom
space-group type	I4/mmm, No. 139
Fermi-level density of states	1.62	states/eV/cell

a = 3.467 Å, b = 3.467 Å, c = 6.350 Å
α = 105.85°, β = 105.85°, γ = 90.00°
Element x y z (fractional)
Si 0.250 0.750 0.500
Si 0.750 0.250 0.500
Au 0.000 0.000 0.000
Cu 0.395 0.395 0.791
Cu 0.605 0.605 0.209

---

Entry 6:
Density functional theory data (SCAN) for a PBEsol-optimized structure of HfAuI2O.

Calculated values
magnetization	0.195	μB/atom
space-group type	P4/mmm, No. 123
Fermi-level density of states	4.23	states/eV/cell

a = 3.820 Å, b = 5.641 Å, c = 5.641 Å
α = 90.00°, β = 90.00°, γ = 90.00°
Element x y z (fractional)
I 0.000 0.000 0.500
I 0.000 0.500 0.000
Hf 0.500 0.500 0.500
Au 0.000 0.000 0.000
O 0.500 0.000 0.000

---

Entry 7:
Density functional theory data (SCAN) for a PBEsol-optimized structure of BaBrCl.

Calculated values
magnetization	0.000	μB/atom
space-group type	Pnma, No. 62
Fermi-level density of states	0.00	states/eV/cell
E above lowest polymorph	23	meV per atom

a = 4.925 Å, b = 7.931 Å, c = 9.997 Å
α = 90.00°, β = 90.00°, γ = 90.00°
Element x y z (fractional)
Ba 0.750 0.271 0.599
Ba 0.250 0.229 0.099
Ba 0.250 0.729 0.401
Ba 0.750 0.771 0.901
Br 0.750 0.359 0.914
Br 0.250 0.141 0.414
Br 0.250 0.641 0.086
Br 0.750 0.859 0.586
Cl 0.750 0.493 0.345
Cl 0.250 0.007 0.845
Cl 0.250 0.507 0.655
Cl 0.750 0.993 0.155

---

Entry 8:
Density functional theory data (SCAN) for a PBEsol-optimized structure of CoSi2Ag.

Calculated values
magnetization	0.001	μB/atom
space-group type	Pmmm, No. 47
Fermi-level density of states	1.90	states/eV/cell
E above lowest polymorph	31	meV per atom

a = 2.780 Å, b = 4.071 Å, c = 4.774 Å
α = 90.00°, β = 90.00°, γ = 90.00°
Element x y z (fractional)
Ag 0.500 0.500 0.000
Co 0.000 0.500 0.500
Si 0.000 0.000 0.000
Si 0.500 0.000 0.500

---

Asked for total DFT energy (no corrections) across the records above, the calculation gives -41.21; -18.77; -27.55; -17.54; -23.75; -41.80; -24.95; -16.71 eV per atom in order.